Entry 1:
Material: CoAg2Os
Method: DFT, PBEsol
State: relaxed

Calculated values
- Symmetry: F-43m
- E: -5.849 eV/atom
- E_form: 795 meV per atom

Unit cell a=4.3474 b=4.3474 c=4.3474 alpha=60.00 beta=60.00 gamma=60.00
Positions (direct):
Co  0.5000  0.5000  0.5000
Os  0.2500  0.2500  0.2500
Ag  0.0000  0.0000  0.0000
Ag  0.7500  0.7500  0.7500

---

Entry 2:
Material: CoAgOs2
Method: DFT, PBEsol
State: relaxed

Calculated values
- Symmetry: C2/m
- E: -8.115 eV/atom
- E_form: 755 meV per atom

Unit cell a=2.6472 b=4.6387 c=5.2806 alpha=115.46 beta=103.55 gamma=92.14
Positions (direct):
Co  0.0000  0.5000  0.0000
Os  0.0000  0.0000  0.5000
Os  0.5000  0.5000  0.5000
Ag  0.5000  0.0000  0.0000

---

Entry 3:
Material: CoAg2Os
Method: DFT, PBEsol
State: relaxed

Calculated values
- Symmetry: I4/mmm
- E: -5.885 eV/atom
- E_form: 759 meV per atom

Unit cell a=3.6998 b=3.6998 c=4.9614 alpha=111.89 beta=111.89 gamma=90.00
Positions (direct):
Co  0.5000  0.5000  0.0000
Os  0.0000  0.0000  0.0000
Ag  0.7500  0.2500  0.5000
Ag  0.2500  0.7500  0.5000

---

Entry 4:
Material: CoAg2Os
Method: DFT, PBEsol
State: relaxed

Calculated values
- Symmetry: P4mm
- E: -6.338 eV/atom
- E_form: 306 meV per atom

Unit cell a=2.7004 b=2.7004 c=7.8047 alpha=90.00 beta=90.00 gamma=90.00
Positions (direct):
Co  0.0000  0.0000  0.5220
Os  0.5000  0.5000  0.7148
Ag  0.0000  0.0000  0.9922
Ag  0.5000  0.5000  0.2709

---

Entry 5:
Material: CoAgOs2
Method: DFT, PBEsol
State: relaxed

Calculated values
- Symmetry: Pmmm
- E: -8.262 eV/atom
- E_form: 608 meV per atom

Unit cell a=2.6251 b=3.6740 c=5.7093 alpha=90.00 beta=90.00 gamma=90.00
Positions (direct):
Co  0.5000  0.5000  0.5000
Os  0.0000  0.0000  0.7141
Os  0.0000  0.0000  0.2859
Ag  0.5000  0.5000  0.0000

---

Entry 6:
Material: CoAg2Os
Method: DFT, PBEsol
State: relaxed

Calculated values
- Symmetry: P4/mmm
- E: -5.960 eV/atom
- E_form: 684 meV per atom

Unit cell a=2.6201 b=2.6201 c=8.4004 alpha=90.00 beta=90.00 gamma=90.00
Positions (direct):
Co  0.5000  0.5000  0.0000
Os  0.5000  0.5000  0.5000
Ag  0.0000  0.0000  0.7629
Ag  0.0000  0.0000  0.2371

---

Entry 7:
Material: Co2AgOsS
Method: DFT, PBEsol
State: relaxed

Calculated values
- Symmetry: P4/mmm
- E: -4.698 eV/atom

Unit cell a=4.4893 b=4.4893 c=4.8306 alpha=90.00 beta=90.00 gamma=90.00
Positions (direct):
Co  0.0000  0.5000  0.0000
Co  0.5000  0.0000  0.0000
S  0.5000  0.5000  0.5000
Os  0.0000  0.0000  0.5000
Ag  0.0000  0.0000  0.0000

---

Entry 8:
Material: TlCoAgOs2
Method: DFT, PBEsol
State: relaxed

Calculated values
- Symmetry: P4/mmm
- E: -4.769 eV/atom
- E_form: 2853 meV per atom

Unit cell a=4.6062 b=4.9181 c=4.9181 alpha=90.00 beta=90.00 gamma=90.00
Positions (direct):
Co  0.5000  0.0000  0.0000
Tl  0.0000  0.0000  0.0000
Os  0.0000  0.0000  0.5000
Os  0.0000  0.5000  0.0000
Ag  0.5000  0.5000  0.5000

---

Entry 9:
Material: Co2AgP
Method: DFT, PBEsol
State: relaxed

Calculated values
- Symmetry: R-3m
- E: -6.194 eV/atom
- E_form: -50 meV per atom

Unit cell a=2.7010 b=2.7010 c=7.8136 alpha=80.05 beta=80.05 gamma=60.00
Positions (direct):
Ag  0.0000  0.0000  0.0000
Co  0.2353  0.2353  0.2942
Co  0.7647  0.7647  0.7058
P  0.5000  0.5000  0.5000

---

Entry 10:
Material: Co2AgP
Method: DFT, PBEsol
State: relaxed

Calculated values
- Symmetry: I4/mmm
- E: -5.958 eV/atom
- E_form: 186 meV per atom

Unit cell a=3.9062 b=4.1254 c=3.9062 alpha=61.74 beta=90.00 gamma=118.26
Positions (direct):
Ag  0.0000  0.0000  0.0000
Co  0.2500  0.5000  0.2500
Co  0.7500  0.5000  0.7500
P  0.5000  0.0000  0.5000

---

Entry 11:
Material: Co2AgP
Method: DFT, PBEsol
State: relaxed

Calculated values
- Symmetry: Cmmm
- E: -5.925 eV/atom
- E_form: 219 meV per atom

Unit cell a=2.8655 b=4.0977 c=4.0977 alpha=90.36 beta=90.00 gamma=90.00
Positions (direct):
Ag  0.5000  0.5000  0.5000
Co  0.0000  0.5000  0.0000
Co  0.0000  0.0000  0.5000
P  0.5000  0.0000  0.0000

---

Entry 12:
Material: CoAgPRu2
Method: DFT, PBEsol
State: relaxed

Calculated values
- Symmetry: P4/mmm
- E: -5.922 eV/atom
- E_form: 1515 meV per atom

Unit cell a=4.2890 b=4.2890 c=4.5754 alpha=90.00 beta=90.00 gamma=90.00
Positions (direct):
Ru  0.0000  0.5000  0.0000
Ru  0.5000  0.0000  0.0000
Co  0.0000  0.0000  0.0000
Ag  0.0000  0.0000  0.5000
P  0.5000  0.5000  0.5000

---

Entry 13:
Material: CoAg2Pb
Method: DFT, PBEsol
State: relaxed

Calculated values
- Symmetry: I4/mmm
- E: -4.190 eV/atom
- E_form: 400 meV per atom

Unit cell a=3.8702 b=3.8702 c=5.2979 alpha=111.42 beta=111.42 gamma=90.00
Positions (direct):
Pb  0.0000  0.0000  0.0000
Co  0.5000  0.5000  0.0000
Ag  0.7500  0.2500  0.5000
Ag  0.2500  0.7500  0.5000

---

Entry 14:
Material: Co3AgPb
Method: DFT, PBEsol
State: relaxed

Calculated values
- Symmetry: Pm-3m
- E: -4.570 eV/atom
- E_form: 1534 meV per atom

Unit cell a=4.5891 b=4.5891 c=4.5891 alpha=90.00 beta=90.00 gamma=90.00
Positions (direct):
Pb  0.5000  0.5000  0.5000
Co  0.0000  0.5000  0.0000
Co  0.0000  0.0000  0.5000
Co  0.5000  0.0000  0.0000
Ag  0.0000  0.0000  0.0000

---

Entry 15:
Material: CoAg4Pb
Method: DFT, PBEsol
State: relaxed

Calculated values
- Symmetry: F-43m
- E: -3.680 eV/atom
- E_form: 483 meV per atom

Unit cell a=5.3883 b=5.3883 c=5.3883 alpha=60.00 beta=60.00 gamma=60.00
Positions (direct):
Ag  0.8733  0.3756  0.3756
Ag  0.3756  0.3756  0.3756
Ag  0.3756  0.3756  0.8733
Ag  0.3756  0.8733  0.3756
Co  0.7500  0.7500  0.7500
Pb  0.0000  0.0000  0.0000

---

Entry 16:
Material: CoAg2Pb
Method: DFT, PBEsol
State: relaxed

Calculated values
- Symmetry: R3m
- E: -4.120 eV/atom
- E_form: 469 meV per atom

Unit cell a=3.0745 b=3.0745 c=8.9465 alpha=80.11 beta=80.11 gamma=60.00
Positions (direct):
Pb  0.2413  0.2413  0.2761
Co  0.4969  0.4969  0.5094
Ag  0.0059  0.0059  0.9824
Ag  0.7560  0.7560  0.7321

---

Entry 17:
Material: ScCoAgPb2
Method: DFT, PBEsol
State: relaxed

Calculated values
- Symmetry: P4/mmm
- E: -3.845 eV/atom
- E_form: 1285 meV per atom

Unit cell a=4.9506 b=5.4401 c=5.4401 alpha=90.00 beta=90.00 gamma=90.00
Positions (direct):
Pb  0.0000  0.0000  0.5000
Pb  0.0000  0.5000  0.0000
Sc  0.0000  0.0000  0.0000
Co  0.5000  0.5000  0.5000
Ag  0.5000  0.0000  0.0000

---

Entry 18:
Material: CoAgTe2Pb
Method: DFT, PBEsol
State: relaxed

Calculated values
- Symmetry: P4/mmm
- E: -4.037 eV/atom

Unit cell a=4.8819 b=5.0169 c=5.0169 alpha=90.00 beta=90.00 gamma=90.00
Positions (direct):
Pb  0.5000  0.0000  0.0000
Te  0.0000  0.0000  0.5000
Te  0.0000  0.5000  0.0000
Co  0.0000  0.0000  0.0000
Ag  0.5000  0.5000  0.5000

---

Entry 19:
Material: CoAg2Pd
Method: DFT, PBEsol
State: relaxed

Calculated values
- Symmetry: Fm-3m
- E: -4.752 eV/atom
- E_form: 327 meV per atom

Unit cell a=4.3651 b=4.3651 c=4.3651 alpha=60.00 beta=60.00 gamma=60.00
Positions (direct):
Co  0.0000  0.0000  0.0000
Pd  0.5000  0.5000  0.5000
Ag  0.2500  0.2500  0.2500
Ag  0.7500  0.7500  0.7500

---

Entry 20:
Material: TiCo2AgPd
Method: DFT, PBEsol
State: relaxed

Calculated values
- Symmetry: P4/mmm
- E: -5.432 eV/atom
- E_form: 1181 meV per atom

Unit cell a=4.5155 b=4.5206 c=4.5206 alpha=90.00 beta=90.00 gamma=90.00
Positions (direct):
Co  0.0000  0.0000  0.5000
Co  0.0000  0.5000  0.0000
Pd  0.0000  0.0000  0.0000
Ag  0.5000  0.5000  0.5000
Ti  0.5000  0.0000  0.0000

---

Entry 21:
Material: YCo2AgPd
Method: DFT, PBEsol
State: relaxed

Calculated values
- Symmetry: P4/mmm
- E: -5.105 eV/atom
- E_form: 1208 meV per atom

Unit cell a=4.5180 b=4.5180 c=5.1927 alpha=90.00 beta=90.00 gamma=90.00
Positions (direct):
Y  0.0000  0.0000  0.5000
Co  0.0000  0.5000  0.0000
Co  0.5000  0.0000  0.0000
Pd  0.5000  0.5000  0.5000
Ag  0.0000  0.0000  0.0000

---

Entry 22:
Material: ZnCoAg2Pd
Method: DFT, PBEsol
State: relaxed

Calculated values
- Symmetry: P4/mmm
- E: -3.384 eV/atom
- E_form: 996 meV per atom

Unit cell a=4.3120 b=4.5861 c=4.5861 alpha=90.00 beta=90.00 gamma=90.00
Positions (direct):
Zn  0.0000  0.0000  0.0000
Co  0.5000  0.0000  0.0000
Pd  0.5000  0.5000  0.5000
Ag  0.0000  0.0000  0.5000
Ag  0.0000  0.5000  0.0000

---

Entry 23:
Material: CoAgPt2
Method: DFT, PBEsol
State: relaxed

Calculated values
- Symmetry: R-3m
- E: -6.260 eV/atom
- E_form: -16 meV per atom

Unit cell a=2.7228 b=2.7228 c=9.0493 alpha=81.35 beta=81.35 gamma=60.00
Positions (direct):
Co  0.0000  0.0000  0.0000
Pt  0.2566  0.2566  0.2303
Pt  0.7434  0.7434  0.7697
Ag  0.5000  0.5000  0.5000

---

Entry 24:
Material: CoAgPt2
Method: DFT, PBEsol
State: relaxed

Calculated values
- Symmetry: P4/mmm
- E: -6.280 eV/atom
- E_form: -36 meV per atom

Unit cell a=2.7273 b=2.7273 c=7.6688 alpha=90.00 beta=90.00 gamma=90.00
Positions (direct):
Co  0.5000  0.5000  0.5000
Pt  0.0000  0.0000  0.7238
Pt  0.0000  0.0000  0.2762
Ag  0.5000  0.5000  0.0000

---

Entry 25:
Material: CoAg2Pt
Method: DFT, PBEsol
State: relaxed

Calculated values
- Symmetry: Fm-3m
- E: -4.960 eV/atom
- E_form: 371 meV per atom

Unit cell a=4.3792 b=4.3792 c=4.3792 alpha=60.00 beta=60.00 gamma=60.00
Positions (direct):
Co  0.0000  0.0000  0.0000
Ag  0.2500  0.2500  0.2500
Ag  0.7500  0.7500  0.7500
Pt  0.5000  0.5000  0.5000

---

Entry 26:
Material: CoAg2Pt
Method: DFT, PBEsol
State: relaxed

Calculated values
- Symmetry: Cm
- E: -5.136 eV/atom
- E_form: 195 meV per atom

Unit cell a=2.7470 b=4.6910 c=4.8710 alpha=100.18 beta=90.00 gamma=107.03
Positions (direct):
Co  0.4960  0.9919  0.4704
Ag  0.0014  0.0028  0.9928
Ag  0.2442  0.4885  0.7572
Pt  0.7584  0.5168  0.2796

---

Entry 27:
Material: CoAg2Pt
Method: DFT, PBEsol
State: relaxed

Calculated values
- Symmetry: Pmmm
- E: -5.057 eV/atom
- E_form: 273 meV per atom

Unit cell a=2.7177 b=4.0308 c=5.3781 alpha=90.00 beta=90.00 gamma=90.00
Positions (direct):
Co  0.5000  0.5000  0.0000
Ag  0.0000  0.0000  0.7562
Ag  0.0000  0.0000  0.2438
Pt  0.5000  0.5000  0.5000

---

Entry 28:
Material: CoAg2Pt
Method: DFT, PBEsol
State: relaxed

Calculated values
- Symmetry: P4mm
- E: -5.243 eV/atom
- E_form: 88 meV per atom

Unit cell a=2.7465 b=2.7465 c=7.7667 alpha=90.00 beta=90.00 gamma=90.00
Positions (direct):
Co  0.0000  0.0000  0.5124
Ag  0.0000  0.0000  0.9951
Ag  0.5000  0.5000  0.2693
Pt  0.5000  0.5000  0.7232

---

Entry 29:
Material: CoAgPt2
Method: DFT, PBEsol
State: relaxed

Calculated values
- Symmetry: Cmmm
- E: -6.122 eV/atom
- E_form: 121 meV per atom

Unit cell a=2.7238 b=4.7268 c=4.7268 alpha=109.34 beta=90.00 gamma=90.00
Positions (direct):
Co  0.5000  0.5000  0.5000
Ag  0.5000  0.0000  0.0000
Pt  0.0000  0.5000  0.0000
Pt  0.0000  0.0000  0.5000

---

Entry 30:
Material: CoAg2Pt
Method: DFT, PBEsol
State: relaxed

Calculated values
- Symmetry: C2/m
- E: -5.087 eV/atom
- E_form: 244 meV per atom

Unit cell a=2.6890 b=4.6967 c=5.4035 alpha=115.18 beta=103.47 gamma=92.09
Positions (direct):
Co  0.5000  0.0000  0.0000
Ag  0.0000  0.0000  0.5000
Ag  0.5000  0.5000  0.5000
Pt  0.0000  0.5000  0.0000